Material: BaCeAg2
Method: DFT, GGA-PBE
State: relaxed

Values from the calculation:
Electronic total energy ... -3.444 eV per atom
M_tot ... 1.18 μB/f.u.

Cell: 3.802 5.614 5.614 Å, 90.00 90.00 90.00°
Site moments in Bohr magnetons follow the coordinates.
Atoms (fractional coordinates):
Ag1 0.000 0.500 0.000  0.01
Ag2 0.000 0.000 0.500  0.01
Ba1 0.500 0.000 0.000  0.00
Ce1 0.500 0.500 0.500  1.01



Material: BaCeAg2
Method: DFT, GGA-PBE
State: relaxed

Values from the calculation:
Electronic total energy ... -3.409 eV per atom
M_tot ... 1.25 μB/f.u.

Cell: 5.550 5.550 5.550 Å, 60.00 60.00 60.00°
Site moments in Bohr magnetons follow the coordinates.
Atoms (fractional coordinates):
Ag1 0.750 0.750 0.750  0.01
Ce1 0.000 0.000 0.000  1.05
Ba1 0.500 0.500 0.500  0.01
Ag2 0.250 0.250 0.250  0.01